# CrCd2Sb, optimized geometry, DFT PBE
# E	-3.664	eV/atom
# formation energy without anion corrections	0.230	eV/atom
# spin magnetization	3.9	μB per formula unit
data_CrCd2Sb
_chemical_formula_sum 'Cr1 Cd2 Sb1'
_cell_length_a 4.223
_cell_length_b 4.223
_cell_length_c 4.847
_cell_angle_alpha 90.00
_cell_angle_beta 90.00
_cell_angle_gamma 90.00
_symmetry_space_group_name_H-M 'P 4/m m m'
_symmetry_Int_Tables_number 123
_symmetry_space_group_name_Hall '-P 4 2'
loop_
_atom_site_label
_atom_site_type_symbol
_atom_site_fract_x
_atom_site_fract_y
_atom_site_fract_z
Cr1 Cr 0.000 0.000 0.000
Cd1 Cd 0.000 0.500 0.500
Sb1 Sb 0.500 0.500 0.000

***

# Cs2ReCl5, optimized geometry, DFT PBE
# E	-4.099	eV/atom
# formation energy without anion corrections	-1.176	eV/atom
# spin magnetization	4.0	μB per formula unit
data_Cs2ReCl5
_chemical_formula_sum 'Cs4 Re2 Cl10'
_cell_length_a 7.537
_cell_length_b 7.537
_cell_length_c 10.357
_cell_angle_alpha 90.00
_cell_angle_beta 90.00
_cell_angle_gamma 90.00
_symmetry_space_group_name_H-M 'I 4 m m'
_symmetry_Int_Tables_number 107
_symmetry_space_group_name_Hall 'I 4 -2'
loop_
_atom_site_label
_atom_site_type_symbol
_atom_site_fract_x
_atom_site_fract_y
_atom_site_fract_z
Cs1 Cs 0.000 0.500 0.000
Re1 Re 0.000 0.000 0.263
Cl1 Cl 0.000 0.000 0.508
Cl2 Cl 0.222 0.222 0.244

***

# NdDy2Pu3Te6, optimized geometry, DFT PBE
# E	-7.551	eV/atom
# formation energy without anion corrections	-1.233	eV/atom
# spin magnetization	17.9	μB per formula unit
data_NdDy2Pu3Te6
_chemical_formula_sum 'Nd2 Dy4 Pu6 Te12'
_cell_length_a 19.307
_cell_length_b 4.396
_cell_length_c 8.873
_cell_angle_alpha 90.00
_cell_angle_beta 103.96
_cell_angle_gamma 90.00
_symmetry_space_group_name_H-M 'C 1 2/m 1'
_symmetry_Int_Tables_number 12
loop_
_symmetry_equiv_pos_as_xyz
'x,y,z'
'-x,-y,-z'
'-x,y,-z'
'x,-y,z'
'x+1/2,y+1/2,z'
'-x+1/2,-y+1/2,-z'
'-x+1/2,y+1/2,-z'
'x+1/2,-y+1/2,z'
loop_
_atom_site_label
_atom_site_type_symbol
_atom_site_fract_x
_atom_site_fract_y
_atom_site_fract_z
Nd1 Nd 0.000 0.000 0.000
Dy1 Dy 0.166 0.500 0.332
Pu1 Pu 0.000 0.000 0.500
Pu2 Pu 0.165 0.500 0.833
Te1 Te 0.002 0.500 0.256
Te2 Te 0.168 0.000 0.580
Te3 Te 0.169 0.000 0.088

***

# Ti2NbSbPt, optimized geometry, DFT PBE
# E	-6.443	eV/atom
# formation energy without anion corrections	0.761	eV/atom
# spin magnetization	0.0	μB per formula unit
data_Ti2NbSbPt
_chemical_formula_sum 'Ti2 Nb1 Sb1 Pt1'
_cell_length_a 4.794
_cell_length_b 4.794
_cell_length_c 4.931
_cell_angle_alpha 90.00
_cell_angle_beta 90.00
_cell_angle_gamma 90.00
_symmetry_space_group_name_H-M 'P 4/m m m'
_symmetry_Int_Tables_number 123
_symmetry_space_group_name_Hall '-P 4 2'
loop_
_atom_site_label
_atom_site_type_symbol
_atom_site_fract_x
_atom_site_fract_y
_atom_site_fract_z
Ti1 Ti 0.000 0.500 0.000
Nb1 Nb 0.000 0.000 0.000
Sb1 Sb 0.500 0.500 0.500
Pt1 Pt 0.000 0.000 0.500

***

# RbUGa2I8, optimized geometry, DFT PBE
# E	-3.280	eV/atom
# formation energy without anion corrections	-0.720	eV/atom
# spin magnetization	1.0	μB per formula unit
data_RbUGa2I8
_chemical_formula_sum 'Rb1 U1 Ga2 I8'
_cell_length_a 7.477
_cell_length_b 8.027
_cell_length_c 10.162
_cell_angle_alpha 90.08
_cell_angle_beta 90.28
_cell_angle_gamma 92.43
_symmetry_space_group_name_H-M 'P -1'
_symmetry_Int_Tables_number 2
loop_
_symmetry_equiv_pos_as_xyz
'x,y,z'
'-x,-y,-z'
loop_
_atom_site_label
_atom_site_type_symbol
_atom_site_fract_x
_atom_site_fract_y
_atom_site_fract_z
Rb1 Rb 0.000 0.000 0.000
U1 U 0.000 0.000 0.500
Ga1 Ga 0.499 0.500 0.785
I1 I 0.210 0.703 0.499
I2 I 0.241 0.151 0.299
I3 I 0.243 0.149 0.703
I4 I 0.277 0.637 0.000

***

# LaNb3Ag, optimized geometry, DFT PBE
# E	-6.169	eV/atom
# formation energy	1428	meV per atom
# spin magnetization	0.0	μB per formula unit
data_LaNb3Ag
_chemical_formula_sum 'La1 Nb3 Ag1'
_cell_length_a 5.059
_cell_length_b 5.059
_cell_length_c 5.059
_cell_angle_alpha 90.00
_cell_angle_beta 90.00
_cell_angle_gamma 90.00
_symmetry_space_group_name_H-M 'P m -3 m'
_symmetry_Int_Tables_number 221
_symmetry_space_group_name_Hall '-P 4 2 3'
loop_
_atom_site_label
_atom_site_type_symbol
_atom_site_fract_x
_atom_site_fract_y
_atom_site_fract_z
La1 La 0.000 0.000 0.000
Nb1 Nb 0.000 0.500 0.500
Ag1 Ag 0.500 0.500 0.500

***

# ZrInSe, optimized geometry, DFT PBE
# E	-5.532	eV/atom
# formation energy without anion corrections	-0.608	eV/atom
# spin magnetization	0.0	μB per formula unit
data_ZrInSe
_chemical_formula_sum 'Zr1 In1 Se1'
_cell_length_a 3.5302
_cell_length_b 3.5302
_cell_length_c 6.6328
_cell_angle_alpha 90.00
_cell_angle_beta 90.00
_cell_angle_gamma 120.00
_symmetry_space_group_name_H-M 'P 3 m 1'
_symmetry_Int_Tables_number 156
loop_
_symmetry_equiv_pos_as_xyz
'x,y,z'
'-y,x-y,z'
'-x+y,-x,z'
'-y,-x,z'
'-x+y,y,z'
'x,x-y,z'
loop_
_atom_site_label
_atom_site_type_symbol
_atom_site_fract_x
_atom_site_fract_y
_atom_site_fract_z
Zr1 Zr 0.0000 0.0000 0.0000
In1 In 0.3333 0.6667 0.3511
Se1 Se 0.6667 0.3333 0.7385

***

# Sc3HgMo, optimized geometry, DFT PBE
# E	-5.647	eV/atom
# formation energy	379	meV per atom
# spin magnetization	0.0	μB per formula unit
data_Sc3HgMo
_chemical_formula_sum 'Sc3 Hg1 Mo1'
_cell_length_a 5.046
_cell_length_b 5.046
_cell_length_c 5.046
_cell_angle_alpha 90.00
_cell_angle_beta 90.00
_cell_angle_gamma 90.00
_symmetry_space_group_name_H-M 'P m -3 m'
_symmetry_Int_Tables_number 221
_symmetry_space_group_name_Hall '-P 4 2 3'
loop_
_atom_site_label
_atom_site_type_symbol
_atom_site_fract_x
_atom_site_fract_y
_atom_site_fract_z
Sc1 Sc 0.000 0.000 0.500
Hg1 Hg 0.500 0.500 0.500
Mo1 Mo 0.000 0.000 0.000

***

# Cr2SiCl, optimized geometry, DFT PBE
# E	-6.409	eV/atom
# formation energy without anion corrections	0.220	eV/atom
# spin magnetization	0.6	μB per formula unit
data_Cr2SiCl
_chemical_formula_sum 'Cr6 Si3 Cl3'
_cell_length_a 2.9405
_cell_length_b 2.9405
_cell_length_c 26.3676
_cell_angle_alpha 90.00
_cell_angle_beta 90.00
_cell_angle_gamma 120.00
_symmetry_space_group_name_H-M 'R 3 m'
_symmetry_Int_Tables_number 160
_symmetry_space_group_name_Hall 'R 3 -2"'
loop_
_atom_site_label
_atom_site_type_symbol
_atom_site_fract_x
_atom_site_fract_y
_atom_site_fract_z
Cr1 Cr 0.0000 0.0000 0.0000
Cr2 Cr 0.0000 0.0000 0.2660
Si1 Si 0.0000 0.0000 0.5290
Cl1 Cl 0.0000 0.0000 0.7311

***

# BaMgHgF6, optimized geometry, DFT PBE
# E	-4.592	eV/atom
# formation energy without anion corrections	-2.920	eV/atom
# spin magnetization	0.0	μB per formula unit
data_BaMgHgF6
_chemical_formula_sum 'Ba4 Mg4 Hg4 F24'
_cell_length_a 7.286
_cell_length_b 7.326
_cell_length_c 10.350
_cell_angle_alpha 90.00
_cell_angle_beta 90.00
_cell_angle_gamma 90.00
_symmetry_space_group_name_H-M 'I m m a'
_symmetry_Int_Tables_number 74
_symmetry_space_group_name_Hall '-I 2b 2'
loop_
_atom_site_label
_atom_site_type_symbol
_atom_site_fract_x
_atom_site_fract_y
_atom_site_fract_z
Ba1 Ba 0.000 0.250 0.080
Mg1 Mg 0.250 0.250 0.750
Hg1 Hg 0.000 0.000 0.500
F1 F 0.000 0.250 0.366
F2 F 0.000 0.250 0.673
F3 F 0.198 0.059 0.882

***

# TbEuHgIr, optimized geometry, DFT PBE
# E	-6.471	eV/atom
# formation energy	-454	meV per atom
# spin magnetization	6.9	μB per formula unit
data_TbEuHgIr
_chemical_formula_sum 'Tb4 Eu4 Hg4 Ir4'
_cell_length_a 7.233
_cell_length_b 7.233
_cell_length_c 7.233
_cell_angle_alpha 90.00
_cell_angle_beta 90.00
_cell_angle_gamma 90.00
_symmetry_space_group_name_H-M 'F -4 3 m'
_symmetry_Int_Tables_number 216
_symmetry_space_group_name_Hall 'F -4 2 3'
loop_
_atom_site_label
_atom_site_type_symbol
_atom_site_fract_x
_atom_site_fract_y
_atom_site_fract_z
Tb1 Tb 0.000 0.000 0.000
Eu1 Eu 0.000 0.000 0.500
Hg1 Hg 0.250 0.250 0.250
Ir1 Ir 0.250 0.250 0.750

***

# BaY2W, optimized geometry, DFT PBE
# E	-6.230	eV/atom
# formation energy	721	meV per atom
# spin magnetization	0.0	μB per formula unit
data_BaY2W
_chemical_formula_sum 'Ba2 Y4 W2'
_cell_length_a 8.690
_cell_length_b 3.379
_cell_length_c 8.924
_cell_angle_alpha 90.00
_cell_angle_beta 94.50
_cell_angle_gamma 90.00
_symmetry_space_group_name_H-M 'C 1 2/m 1'
_symmetry_Int_Tables_number 12
loop_
_symmetry_equiv_pos_as_xyz
'x,y,z'
'-x,-y,-z'
'-x,y,-z'
'x,-y,z'
'x+1/2,y+1/2,z'
'-x+1/2,-y+1/2,-z'
'-x+1/2,y+1/2,-z'
'x+1/2,-y+1/2,z'
loop_
_atom_site_label
_atom_site_type_symbol
_atom_site_fract_x
_atom_site_fract_y
_atom_site_fract_z
Ba1 Ba 0.000 0.000 0.000
Y1 Y 0.230 0.000 0.672
W1 W 0.000 0.500 0.500